Entry 1:
Below is Li2BeBr after structural relaxation, with properties calculated at the PBE level.

```
Li2BeBr
1.0
3.645 0.000 0.000
0.000 6.071 0.000
0.000 0.000 3.622
Li Be Br
2 1 1
direct
0.000 0.000 0.000
0.000 0.500 0.498
0.500 0.000 0.500
0.500 0.500 0.998
```

## Properties
The calculation puts the relative energy among the computed polymorphs at 0.1692 eV/atom. Its uncorrected formation energy is -7 kJ/mol of atoms.

---

Entry 2:
Below is LiBeBr2 after structural relaxation, with properties calculated at the PBE level.

```
LiBeBr2
1.0
-2.807 2.807 6.563
2.807 -2.807 6.563
2.807 2.807 -6.563
Li Be Br
2 2 4
direct
0.000 0.000 0.000
0.750 0.250 0.500
0.250 0.750 0.500
0.500 0.500 0.000
0.156 0.625 0.031
0.375 0.406 0.531
0.594 0.125 0.969
0.875 0.844 0.469
```

## Properties
The calculation puts the relative energy among the computed polymorphs at 0.1746 eV/atom. Its uncorrected formation energy is -42 kJ/mol of atoms.

---

Entry 3:
Below is LiBe2Br after structural relaxation, with properties calculated at the PBE level.

```
LiBe2Br
1.0
-3.799 3.799 2.321
3.799 -3.799 2.321
3.799 3.799 -2.321
Li Be Br
2 4 2
direct
0.000 0.000 0.000
0.750 0.250 0.500
0.156 0.625 0.031
0.375 0.406 0.531
0.594 0.125 0.969
0.875 0.844 0.469
0.250 0.750 0.500
0.500 0.500 0.000
```

## Properties
The calculation puts the relative energy among the computed polymorphs at 0.2532 eV/atom. Its uncorrected formation energy is 34 kJ/mol of atoms.

---

Entry 4:
Below is LiBeBr after structural relaxation, with properties calculated at the PBE level.

```
LiBeBr
1.0
0.000 3.235 3.235
3.235 0.000 3.235
3.235 3.235 0.000
Li Be Br
1 1 1
direct
0.000 0.000 0.000
0.250 0.250 0.250
0.750 0.750 0.750
```

## Properties
The calculation puts the relative energy among the computed polymorphs at 0.2810 eV/atom. Its uncorrected formation energy is 25 kJ/mol of atoms.

---

Entry 5:
Below is LiBe2Br after structural relaxation, with properties calculated at the PBE level.

```
LiBe2Br
1.0
4.039 0.000 0.000
0.000 4.039 0.000
0.000 0.000 4.557
Li Be Br
1 2 1
direct
0.000 0.000 0.000
0.500 0.500 0.262
0.500 0.500 0.738
0.000 0.000 0.500
```

## Properties
The calculation puts the relative energy among the computed polymorphs at 0.3768 eV/atom. Its uncorrected formation energy is 46 kJ/mol of atoms.

---

Entry 6:
Below is LiBeBr after structural relaxation, with properties calculated at the PBE level.

```
LiBeBr
1.0
0.000 3.029 5.868
1.714 0.000 5.868
1.714 3.029 0.000
Li Be Br
1 1 1
direct
0.000 0.000 0.000
0.340 0.340 0.660
0.709 0.709 0.291
```

## Properties
The calculation puts the relative energy among the computed polymorphs at 0.0172 eV/atom. Its uncorrected formation energy is 0 kJ/mol of atoms.

---

Look up the relative energy among the computed polymorphs of the second one.
0.1746 eV/atom

---

Copy entry 6 word for word.
Below is LiBeBr after structural relaxation, with properties calculated at the PBE level.

```
LiBeBr
1.0
0.000 3.029 5.868
1.714 0.000 5.868
1.714 3.029 0.000
Li Be Br
1 1 1
direct
0.000 0.000 0.000
0.340 0.340 0.660
0.709 0.709 0.291
```

## Properties
The calculation puts the relative energy among the computed polymorphs at 0.0172 eV/atom. Its uncorrected formation energy is 0 kJ/mol of atoms.

---

Which value of relative energy among the computed polymorphs does entry 4 give?
0.2810 eV/atom